Arrangement w

Below is a geometry-optimized Zn3CuAg3 structure, with properties calculated at the PBE-GGA level.

Results
Magnetic moment: 0.0 Bohr magnetons per cell
V: 477 Å³ per cell
DOS(E_F): 1.52 states/eV/f.u.

a b c (Å): 8.4296 6.9682 8.1165
angles (deg): 90.00 90.01 90.00
Space group C2/m (No. 12)
Unique sites:
1 Zn 0.0000 0.1955 0.0000
2 Zn 0.0000 0.1991 0.5000
3 Zn 0.2240 0.5000 0.0007
4 Cu 0.2318 0.5000 0.4994
5 Ag 0.0001 0.5000 0.2555
6 Ag 0.2497 0.2494 0.2530



Arrangement x

Below is a geometry-optimized Zn3CuAg3 structure, with properties calculated at the PBE-GGA level.

Results
Magnetic moment: 0.0 Bohr magnetons per cell
V: 487 Å³ per cell
DOS(E_F): 1.72 states/eV/f.u.

a b c (Å): 6.5621 11.8005 6.4845
angles (deg): 90.00 104.03 90.00
Space group C2/m (No. 12)
Unique sites:
1 Zn 0.1590 0.1609 0.1941
2 Zn 0.1840 0.0000 0.4835
3 Cu 0.0451 0.5000 0.7158
4 Ag 0.0000 0.2857 0.5000
5 Ag 0.0000 0.3441 0.0000
6 Ag 0.1596 0.0000 0.8775



Tell me which of them is the most stable. Sure, it is arrangement w.



Arrangement w

Below is a geometry-optimized Zn12Cu6Ag structure, with properties calculated at the PBE-GGA level.

Results
Magnetic moment: 0.0 Bohr magnetons per cell
V: 813 Å³ per cell
DOS(E_F): 5.01 states/eV/f.u.

a b c (Å): 10.3264 10.3264 8.8087
angles (deg): 90.00 90.00 120.00
Space group R-3m (No. 166, hexagonal axes)
Unique sites:
1 Zn 0.0000 0.2622 0.0000
2 Zn 0.0737 0.5369 0.1170
3 Cu 0.0856 0.1712 0.7435
4 Ag 0.0000 0.0000 0.0000



Arrangement x

Below is a geometry-optimized Zn12Cu6Ag structure, with properties calculated at the PBE-GGA level.

Results
Magnetic moment: 0.0 Bohr magnetons per cell
V: 786 Å³ per cell
DOS(E_F): 3.68 states/eV/f.u.

a b c (Å): 11.7388 11.7388 6.5882
angles (deg): 90.00 90.00 120.00
Space group R-3 (No. 148, hexagonal axes)
Unique sites:
1 Zn 0.0129 0.8693 0.1601
2 Zn 0.0633 0.5028 0.1727
3 Cu 0.0333 0.7559 0.8256
4 Ag 0.0000 0.0000 0.5000



Tell me which of them is the most stable. Sure, it is arrangement x.



Arrangement w

Below is a geometry-optimized ZrCuAg2 structure, with properties calculated at the PBE-GGA level.

Results
Magnetic moment: 0.0 Bohr magnetons per cell
V: 307 Å³ per cell
DOS(E_F): 4.51 states/eV/f.u.

a b c (Å): 7.5284 7.5284 5.4199
angles (deg): 90.00 90.00 90.00
Space group I-42d (No. 122)
Unique sites:
1 Zr 0.0000 0.0000 0.0000
2 Cu 0.0000 0.0000 0.5000
3 Ag 0.2106 0.2500 0.6250



Arrangement x

Below is a geometry-optimized ZrCuAg2 structure, with properties calculated at the PBE-GGA level.

Results
Magnetic moment: 0.0 Bohr magnetons per cell
V: 71 Å³ per cell
DOS(E_F): 1.97 states/eV/f.u.

a b c (Å): 2.9805 3.3977 7.0247
angles (deg): 90.00 90.00 90.00
Space group Pmm2 (No. 25)
Unique sites:
1 Zr 0.0000 0.0000 0.0000
2 Cu 0.5000 0.5000 0.7618
3 Ag 0.0000 0.0000 0.5486
4 Ag 0.5000 0.5000 0.2917



Arrangement y

Below is a geometry-optimized ZrCuAg2 structure, with properties calculated at the PBE-GGA level.

Results
Magnetic moment: 0.0 Bohr magnetons per cell
V: 142 Å³ per cell
DOS(E_F): 2.58 states/eV/f.u.

a b c (Å): 4.2235 4.2235 7.9339
angles (deg): 90.00 90.00 90.00
Space group I4/mmm (No. 139)
Unique sites:
1 Zr 0.0000 0.0000 0.0000
2 Cu 0.0000 0.0000 0.5000
3 Ag 0.0000 0.5000 0.2500



Tell me which of them is the most stable. Sure, it is arrangement x.